Record 1
Here is an optimized crystal structure of YAg2Ir from Alexandria via LeMat-Bulk. Energies are from PBE-GGA.

## Properties
* total moment: 0.00 μB per formula unit
* calculated volume: 19.0 Å³ per atom
* N(E_F): 1.11 states/eV per cell
* calculated total energy: -5.47 eV per atom

Unit cell a=5.090 b=5.090 c=4.328 alpha=64.84 beta=64.84 gamma=50.30
Fractional positions:
Ag 0.000 0.000 0.000
Ag 0.250 0.250 0.250
Ir 0.500 0.500 0.500
Y 0.750 0.750 0.750

***

Record 2
Here is an optimized crystal structure of KZnGaBr4 from Alexandria via LeMat-Bulk. Energies are from PBE-GGA.

## Properties
* total moment: 0.00 μB per formula unit
* calculated volume: 34.2 Å³ per atom
* N(E_F): 0.00 states/eV per cell
* calculated total energy: -2.76 eV per atom
* raw formation energy: -1.030 eV/atom

Unit cell a=7.309 b=7.501 c=9.093 alpha=90.00 beta=106.23 gamma=90.00
Fractional positions:
K 0.781 0.750 0.457
K 0.219 0.250 0.543
Zn 0.230 0.750 0.288
Zn 0.770 0.250 0.712
Ga 0.771 0.750 0.973
Ga 0.229 0.250 0.027
Br 0.999 0.499 0.778
Br 0.001 0.999 0.222
Br 0.001 0.501 0.222
Br 0.999 0.001 0.778
Br 0.441 0.750 0.126
Br 0.559 0.250 0.874
Br 0.378 0.750 0.560
Br 0.622 0.250 0.440

***

Record 3
Here is an optimized crystal structure of Rb2BaNa from Alexandria via LeMat-Bulk. Energies are from PBE-GGA.

## Properties
* total moment: 0.00 μB per formula unit
* calculated volume: 68.2 Å³ per atom
* N(E_F): 4.15 states/eV per cell
* calculated total energy: -1.19 eV per atom

Unit cell a=4.508 b=4.508 c=13.414 alpha=90.00 beta=90.00 gamma=90.00
Fractional positions:
Na 0.500 0.500 0.000
Ba 0.500 0.500 0.500
Rb 0.000 0.000 0.781
Rb 0.000 0.000 0.219

***

Record 4
Here is an optimized crystal structure of LaDyAlIn from Alexandria via LeMat-Bulk. Energies are from PBE-GGA.

## Properties
* total moment: 0.00 μB per formula unit
* calculated volume: 27.0 Å³ per atom
* N(E_F): 2.33 states/eV per cell
* calculated total energy: -4.44 eV per atom

Unit cell a=3.751 b=3.751 c=7.679 alpha=90.00 beta=90.00 gamma=90.00
Fractional positions:
La 0.500 0.500 0.119
Dy 0.500 0.500 0.596
Al 0.000 0.000 0.377
In 0.000 0.000 0.836